1.
{"formula": "Li10Co4O9", "functional": "meta-GGA SCAN", "state": "single point on PBEsol structure", "lattice": [[-3.308, 1.873, -2.610], [-3.953, -8.540, -1.119], [-5.288, 1.435, 7.732]], "species": ["Co", "Co", "Co", "Co", "Co", "Co", "Co", "Co", "O", "O", "O", "O", "O", "O", "O", "O", "O", "O", "O", "O", "O", "O", "O", "O", "O", "O", "Li", "Li", "Li", "Li", "Li", "Li", "Li", "Li", "Li", "Li", "Li", "Li", "Li", "Li", "Li", "Li", "Li", "Li", "Li", "Li"], "frac_coords": [[0.190, 0.361, 0.500], [0.810, 0.500, 0.361], [0.690, 0.000, 0.139], [0.690, 0.000, 0.861], [0.310, 0.139, 0.000], [0.190, 0.639, 0.500], [0.310, 0.861, 0.000], [0.810, 0.500, 0.639], [0.403, 0.837, 0.500], [0.000, 0.676, 0.324], [0.097, 0.663, 0.000], [0.000, 0.676, 0.676], [0.903, 0.000, 0.663], [0.500, 0.824, 0.824], [0.500, 0.500, 0.500], [0.597, 0.500, 0.837], [0.097, 0.337, 0.000], [0.000, 0.000, 0.000], [0.500, 0.176, 0.824], [0.500, 0.176, 0.176], [0.500, 0.824, 0.176], [0.903, 0.000, 0.337], [0.597, 0.500, 0.163], [0.000, 0.324, 0.324], [0.403, 0.163, 0.500], [0.000, 0.324, 0.676], [0.196, 0.144, 0.314], [0.804, 0.314, 0.144], [0.137, 0.000, 0.500], [0.304, 0.644, 0.814], [0.804, 0.314, 0.856], [0.696, 0.814, 0.644], [0.196, 0.144, 0.686], [0.304, 0.356, 0.186], [0.363, 0.500, 0.000], [0.637, 0.000, 0.500], [0.304, 0.356, 0.814], [0.696, 0.186, 0.644], [0.304, 0.644, 0.186], [0.696, 0.814, 0.356], [0.196, 0.856, 0.314], [0.196, 0.856, 0.686], [0.804, 0.686, 0.144], [0.863, 0.500, 0.000], [0.804, 0.686, 0.856], [0.696, 0.186, 0.356]], "dft_energy_ha_per_atom": -0.301, "space_group": "P4_2/nmc (137)"}

---

2.
{"formula": "LiCoO2", "functional": "meta-GGA SCAN", "state": "single point on PBEsol structure", "lattice": [[-4.050, 0.974, -3.782], [-4.271, -3.622, -0.544], [-5.158, 1.454, 1.713]], "species": ["O", "O", "O", "O", "O", "O", "O", "O", "Co", "Co", "Co", "Co", "Li", "Li", "Li", "Li"], "frac_coords": [[0.886, 0.886, 0.886], [0.886, 0.343, 0.886], [0.364, 0.364, 0.364], [0.364, 0.364, 0.907], [0.886, 0.886, 0.343], [0.907, 0.364, 0.364], [0.343, 0.886, 0.886], [0.364, 0.907, 0.364], [0.125, 0.125, 0.625], [0.125, 0.625, 0.125], [0.625, 0.125, 0.125], [0.125, 0.125, 0.125], [0.125, 0.625, 0.625], [0.625, 0.625, 0.625], [0.625, 0.625, 0.125], [0.625, 0.125, 0.625]], "dft_energy_ha_per_atom": -0.364, "space_group": "Fd-3m (227)"}

---

3.
{"formula": "Li9Co2O8", "functional": "meta-GGA SCAN", "state": "single point on PBEsol structure", "lattice": [[-3.257, -3.313, -0.528], [4.337, -4.108, -1.887], [0.851, -1.922, 5.901]], "species": ["O", "O", "O", "O", "O", "O", "O", "O", "Li", "Li", "Li", "Li", "Li", "Li", "Li", "Li", "Li", "Co", "Co"], "frac_coords": [[0.713, 0.993, 0.768], [0.822, 0.015, 0.248], [0.178, 0.752, 0.985], [0.204, 0.759, 0.497], [0.287, 0.232, 0.007], [0.796, 0.503, 0.241], [0.311, 0.256, 0.502], [0.689, 0.498, 0.744], [0.996, 0.465, 0.958], [0.500, 0.541, 0.459], [0.932, 0.728, 0.721], [0.436, 0.759, 0.746], [0.004, 0.042, 0.535], [0.068, 0.279, 0.272], [0.000, 0.031, 0.969], [0.500, 0.932, 0.068], [0.564, 0.254, 0.241], [0.500, 0.248, 0.752], [0.000, 0.747, 0.253]], "dft_energy_ha_per_atom": -0.270, "space_group": "C2 (5)"}

---

4.
{"formula": "LiCoO2", "functional": "meta-GGA SCAN", "state": "single point on PBEsol structure", "lattice": [[-1.018, 2.513, 0.762], [-1.731, 0.207, 2.211], [2.689, 1.529, 3.756]], "species": ["O", "O", "Li", "Co"], "frac_coords": [[0.739, 0.739, 0.783], [0.261, 0.261, 0.217], [0.500, 0.500, 0.500], [0.000, 0.000, 0.000]], "dft_energy_ha_per_atom": -0.364, "space_group": "R-3m (166)"}

---

Listing raw formation energy for the structures above in their given order: -1710 -1875 -1763 -1875 meV per atom.
Listing total moment for the structures above in their given order: 12.0 0.0 9.0 0.0 μB/f.u..
Listing N(E_F) for the structures above in their given order: 5.43 0.00 6.07 0.00 states/eV/f.u..